(i)
# NbAgP2 PBE-GGA optimized geometry
# Calculated volume (Å³/atom): 15.99
data_NbAgP2
_cell_length_a 6.3489
_cell_length_b 6.3489
_cell_length_c 6.3489
_cell_angle_alpha 90.00
_cell_angle_beta 90.00
_cell_angle_gamma 90.00
_space_group_name_H-M_alt 'F m -3 m'
_space_group_IT_number 225
_space_group_name_Hall '-F 4 2 3'
loop_
_atom_site_label
_atom_site_fract_x
_atom_site_fract_y
_atom_site_fract_z
Nb1 0.0000 0.0000 0.0000
Ag1 0.0000 0.0000 0.5000
P1 0.2500 0.2500 0.2500


(ii)
# NbAgP2 PBE-GGA optimized geometry
# Calculated volume (Å³/atom): 23.02
data_NbAgP2
_cell_length_a 5.7656
_cell_length_b 5.7656
_cell_length_c 11.0820
_cell_angle_alpha 90.00
_cell_angle_beta 90.00
_cell_angle_gamma 90.00
_space_group_name_H-M_alt 'I -4 2 d'
_space_group_IT_number 122
_space_group_name_Hall 'I -4 2bw'
loop_
_atom_site_label
_atom_site_fract_x
_atom_site_fract_y
_atom_site_fract_z
Nb1 0.0000 0.0000 0.0000
Ag1 0.0000 0.0000 0.5000
P1 0.2311 0.2500 0.1250


What should be chosen as the least stable of them? Choose (i).